*1*
The following is a GGA+U calculation of a geometry-optimized FeB2F structure, from Alexandria.

Lattice parameters (Å, degrees): 4.9603 4.9603 6.9760 90.00 90.00 90.00
Space group I-42d (No. 122)
Unique sites:
Fe 0.0000 0.0000 0.0000 (multiplicity 4)
B 0.2416 0.2500 0.6250 (multiplicity 8)
F 0.0000 0.0000 0.5000 (multiplicity 4)


*2*
The following is a GGA+U calculation of a geometry-optimized FeB2F structure, from Alexandria.

Lattice parameters (Å, degrees): 5.4384 5.4384 5.4384 90.00 90.00 90.00
Space group Fm-3m (No. 225)
Unique sites:
Fe 0.0000 0.0000 0.0000 (multiplicity 4)
B 0.2500 0.2500 0.2500 (multiplicity 8)
F 0.0000 0.0000 0.5000 (multiplicity 4)


Least stable = *2*